(1)
BaMnCr2Ga: relaxed, PBE-GGA.

a b c (Å): 4.743 4.743 4.860
angles (deg): 90.00 90.00 90.00
Space group P4/mmm (No. 123)
Symmetry-distinct sites (fractional):
Ba  0.000  0.000  0.000
Mn  0.500  0.500  0.500
Cr  0.000  0.500  0.500
Ga  0.500  0.500  0.000

Output
* formation energy from the elements: 12.1 kcal/mol of atoms

(2)
LaNd2Tl: relaxed, PBE-GGA.

a b c (Å): 7.963 7.963 7.963
angles (deg): 90.00 90.00 90.00
Space group Fm-3m (No. 225)
Symmetry-distinct sites (fractional):
La  0.000  0.000  0.000
Nd  0.250  0.250  0.250
Tl  0.000  0.000  0.500

Output
* formation energy from the elements: -1.3 kcal/mol of atoms
* excess energy over the best structure of this formula in the dataset: 0.64 eV/f.u.

(3)
BaLa4Os: relaxed, PBE-GGA.

a b c (Å): 9.070 9.070 9.070
angles (deg): 90.00 90.00 90.00
Space group F-43m (No. 216)
Symmetry-distinct sites (fractional):
Ba  0.000  0.000  0.000
La  0.122  0.122  0.622
Os  0.250  0.250  0.250

Output
* formation energy from the elements: 18.9 kcal/mol of atoms

(4)
Pm2SmEr2: relaxed, PBE-GGA.

a b c (Å): 3.537 5.768 16.433
angles (deg): 90.00 90.00 90.00
Space group Amm2 (No. 38)
Symmetry-distinct sites (fractional):
Pm  0.000  0.000  0.000
Pm  0.500  0.000  0.427
Sm  0.000  0.000  0.234
Er  0.000  0.000  0.618
Er  0.500  0.000  0.806

Output
* formation energy from the elements: 2.8 kcal/mol of atoms
* excess energy over the best structure of this formula in the dataset: 0.50 eV/f.u.

(5)
La2Pm6Sm3: relaxed, PBE-GGA.

a b c (Å): 4.848 4.848 34.277
angles (deg): 90.00 90.00 90.00
Space group I4/mmm (No. 139)
Symmetry-distinct sites (fractional):
La  0.000  0.000  0.045
Pm  0.000  0.000  0.199
Pm  0.000  0.500  0.122
Sm  0.000  0.000  0.299
Sm  0.000  0.000  0.500

Output
* formation energy from the elements: 5.9 kcal/mol of atoms
* excess energy over the best structure of this formula in the dataset: 0.93 eV/f.u.

(6)
BaSrAs4: relaxed, PBE-GGA.

a b c (Å): 8.473 8.473 8.473
angles (deg): 90.00 90.00 90.00
Space group F-43m (No. 216)
Symmetry-distinct sites (fractional):
Ba  0.000  0.000  0.000
Sr  0.250  0.250  0.750
As  0.123  0.123  0.377

Output
* formation energy from the elements: -11.7 kcal/mol of atoms

(7)
Ac6AlTl2: relaxed, PBE-GGA.

a b c (Å): 10.968 10.993 11.633
angles (deg): 90.00 90.00 90.00
Space group Immm (No. 71)
Symmetry-distinct sites (fractional):
Ac  0.000  0.215  0.168
Ac  0.173  0.236  0.500
Ac  0.192  0.500  0.244
Al  0.000  0.500  0.000
Al  0.000  0.500  0.500
Tl  0.000  0.000  0.370
Tl  0.157  0.000  0.000

Output
* formation energy from the elements: -3.9 kcal/mol of atoms

(8)
Sm2FeCu: relaxed, PBE-GGA.

a b c (Å): 6.985 6.985 6.985
angles (deg): 90.00 90.00 90.00
Space group Fm-3m (No. 225)
Symmetry-distinct sites (fractional):
Sm  0.250  0.250  0.250
Fe  0.000  0.000  0.000
Cu  0.000  0.000  0.500

Output
* formation energy from the elements: 1.4 kcal/mol of atoms